Density functional theory data (GGA-PBE) for an optimized crystal structure of KBi4S6.

Structure (extended XYZ):
```
22
Lattice="2.1518 -6.7228 0.0000 2.1518 6.7228 0.0000 0.0000 0.0000 20.8570" Properties=species:S:1:pos:R:3 pbc="T T T"
K 2.1518 4.6770 15.6427
K 2.1518 -4.6770 5.2142
Bi 2.1518 5.4045 2.8238
Bi 2.1518 5.4045 7.6047
Bi 2.1518 1.8022 0.8910
Bi 2.1518 1.8022 9.5375
Bi 2.1518 -1.8022 11.3194
Bi 2.1518 -1.8022 19.9660
Bi 2.1518 -5.4045 13.2523
Bi 2.1518 -5.4045 18.0332
S 0.0000 0.0000 0.0000
S 0.0000 0.0000 10.4285
S 2.1518 4.3110 5.2142
S 2.1518 3.2514 12.1435
S 2.1518 3.2514 19.1420
S 2.1518 0.3684 3.2503
S 2.1518 0.3684 7.1782
S 2.1518 -0.3684 13.6788
S 2.1518 -0.3684 17.6067
S 2.1518 -3.2514 1.7150
S 2.1518 -3.2514 8.7135
S 2.1518 -4.3110 15.6427
```

Properties
For the uncorrected formation energy, the calculation gives -0.473 eV/atom. The calculation puts the magnetization at 0.000 μB per cell.

***

Density functional theory data (GGA-PBE) for an optimized crystal structure of KBiS2.

Structure (extended XYZ):
```
16
Lattice="7.7243 0.0000 0.0000 0.0000 4.3007 0.0000 0.0000 0.0000 14.5551" Properties=species:S:1:pos:R:3 pbc="T T T"
K 0.7104 1.0752 2.0206
K 3.1517 3.2255 9.2981
K 4.5725 1.0752 5.2570
K 7.0138 3.2255 12.5345
Bi 0.7695 3.2255 5.5465
Bi 3.0927 1.0752 12.8240
Bi 4.6316 3.2255 1.7310
Bi 6.9548 1.0752 9.0086
S 1.2130 1.0752 11.0047
S 1.6774 1.0752 6.9786
S 2.1847 3.2255 14.2561
S 2.6491 3.2255 3.7272
S 5.0751 1.0752 10.8279
S 5.5396 1.0752 0.2990
S 6.0468 3.2255 7.5765
S 6.5113 3.2255 3.5503
```

Properties
For the uncorrected formation energy, the calculation gives -0.691 eV/atom. The calculation puts the magnetization at 0.000 μB per cell.

***

Density functional theory data (GGA-PBE) for an optimized crystal structure of KBiS2.

Structure (extended XYZ):
```
4
Lattice="4.2584 0.0000 0.0000 0.0000 4.2584 0.0000 0.0000 0.0000 5.7802" Properties=species:S:1:pos:R:3 pbc="T T T"
K 0.0000 0.0000 0.0000
Bi 2.1292 2.1292 2.8901
S 0.0000 0.0000 2.8901
S 2.1292 2.1292 0.0000
```

Properties
For the uncorrected formation energy, the calculation gives -0.536 eV/atom. The calculation puts the magnetization at 0.000 μB per cell.